1.
## Sb2AuS6 (PBE-GGA)

Data for a geometry-optimized Sb2AuS6 structure.

Results
VASP energy = -3.866 eV/atom
ΔE_f (raw) = 144 kJ/mol of formula units

Unit cell a=6.498 b=6.498 c=10.736 alpha=90.00 beta=90.00 gamma=90.00
Atoms (fractional coordinates):
Sb: 0.000 0.000 0.337
Sb: 0.500 0.500 0.837
Sb: 0.500 0.500 0.163
Sb: 0.000 0.000 0.663
Au: 0.000 0.000 0.000
Au: 0.500 0.500 0.500
S: 0.317 0.317 0.337
S: 0.683 0.683 0.337
S: 0.183 0.817 0.837
S: 0.817 0.183 0.837
S: 0.183 0.817 0.163
S: 0.817 0.183 0.163
S: 0.317 0.317 0.663
S: 0.683 0.683 0.663
S: 0.306 0.306 0.000
S: 0.694 0.694 0.000
S: 0.194 0.806 0.500
S: 0.806 0.194 0.500

2.
## Zr2Be9Nb (PBE-GGA)

Data for a geometry-optimized Zr2Be9Nb structure.

Results
Energy relative to the elements = -188 kJ/mol of formula units
VASP energy = -5.221 eV/atom

Unit cell a=4.631 b=4.631 c=7.784 alpha=72.69 beta=72.69 gamma=60.00
Atoms (fractional coordinates):
Zr: 0.862 0.862 0.415
Zr: 0.138 0.138 0.585
Be: 0.666 0.666 0.001
Be: 0.334 0.334 0.999
Be: 0.500 0.500 0.500
Be: 0.423 0.423 0.229
Be: 0.924 0.423 0.229
Be: 0.423 0.924 0.229
Be: 0.577 0.577 0.771
Be: 0.577 0.076 0.771
Be: 0.076 0.577 0.771
Nb: 0.000 0.000 0.000

| no. | Fermi-level density of states (states/eV per atom) | magnetic moment (μB/cell) |
| --- | --- | --- |
| 1 | 0.60 | 0.00 |
| 2 | 0.59 | 0.00 |